{"formula": "Cr2ReO", "functional": "PBE+U", "state": "optimized geometry", "cell": [[5.856, 0.000, 0.000], [0.000, 5.856, 0.000], [0.000, 0.000, 7.061]], "species": ["Cr", "Cr", "Cr", "Cr", "Cr", "Cr", "Cr", "Cr", "Re", "Re", "Re", "Re", "O", "O", "O", "O"], "frac_coords": [[0.161, 0.250, 0.125], [0.250, 0.661, 0.375], [0.250, 0.839, 0.875], [0.339, 0.250, 0.625], [0.661, 0.750, 0.625], [0.750, 0.161, 0.875], [0.750, 0.339, 0.375], [0.839, 0.750, 0.125], [0.000, 0.000, 0.500], [0.000, 0.500, 0.750], [0.500, 0.000, 0.250], [0.500, 0.500, 0.000], [0.000, 0.000, 0.000], [0.000, 0.500, 0.250], [0.500, 0.000, 0.750], [0.500, 0.500, 0.500]], "spacegroup": "I-42d", "magnetic_moment_mub_per_fu": 4.82, "dos_at_fermi_per_ev_atom": 0.609, "vol_a3_per_cell": 242.2, "energy_ev_per_atom": -7.7373, "rho_g_cm3": 8.399, "crystal_system": "tetragonal"}